{"formula": "B3SbC", "functional": "PBE", "state": "optimized geometry", "cell": [[4.462, 0.000, 0.000], [0.000, 4.462, 0.000], [0.000, 0.000, 4.462]], "species": ["B", "B", "B", "Sb", "C"], "frac_coords": [[0.000, 0.000, 0.500], [0.000, 0.500, 0.000], [0.500, 0.000, 0.000], [0.000, 0.000, 0.000], [0.500, 0.500, 0.500]], "e_above_lowest_polymorph_mev_per_atom": 1544, "final_energy_ev_per_cell": -16.36, "m_tot_mub_per_fu": 1.1, "vol_a3_per_cell": 89, "raw_formation_energy_mev_per_atom": 3404}